Entry 1:
HfRuSe3 PBE optimized geometry; E_form (uncorrected) = 0.332 eV per atom; space group = Pm-3m; raw total energy = -28.025 eV/cell; V = 27.06 Å³/atom
1.0
5.134 0.000 0.000
0.000 5.134 0.000
0.000 0.000 5.134
Ru Se Hf
1 3 1
direct
0.500 0.500 0.500
0.500 0.000 0.000
0.000 0.000 0.500
0.000 0.500 0.000
0.000 0.000 0.000

=====

Entry 2:
HfRuSe2 PBE optimized geometry; E_form (uncorrected) = -0.321 eV per atom; space group = I-42d; raw total energy = -54.967 eV/cell; V = 20.68 Å³/atom; energy above the lowest structure with this stoichiometry = 3.2 kJ/mol of atoms
1.0
-0.490 3.909 -2.432
-4.570 -0.706 -0.214
-3.450 5.566 5.236
Hf Ru Se
2 2 4
direct
0.750 0.250 0.500
0.000 0.000 0.000
0.250 0.750 0.500
0.500 0.500 0.000
0.596 0.125 0.250
0.875 0.846 0.750
0.375 0.404 0.750
0.154 0.625 0.250

=====

Entry 3:
HfRuSe2 PBE optimized geometry; E_form (uncorrected) = -0.013 eV per atom; space group = R-3m; raw total energy = -26.248 eV/cell; V = 20.38 Å³/atom; energy above the lowest structure with this stoichiometry = 33.0 kJ/mol of atoms
1.0
-7.690 1.071 4.065
-6.586 -1.694 5.529
-5.592 1.275 6.627
Se Hf Ru
2 1 1
direct
0.897 0.897 0.897
0.103 0.103 0.103
0.000 0.000 0.000
0.500 0.500 0.500

=====

Entry 4:
HfRu3Se PBE optimized geometry; E_form (uncorrected) = 1.628 eV per atom; space group = Pm-3m; raw total energy = -33.127 eV/cell; V = 22.45 Å³/atom; energy above the lowest structure with this stoichiometry = 108.5 kJ/mol of atoms
1.0
4.824 0.000 0.000
0.000 4.824 0.000
0.000 0.000 4.824
Ru Hf Se
3 1 1
direct
0.500 0.000 0.000
0.000 0.000 0.500
0.000 0.500 0.000
0.000 0.000 0.000
0.500 0.500 0.500

=====

Entry 5:
Hf3RuSe PBE optimized geometry; E_form (uncorrected) = 0.169 eV per atom; space group = Pm-3m; raw total energy = -41.775 eV/cell; V = 24.55 Å³/atom; energy above the lowest structure with this stoichiometry = 0.0 kJ/mol of atoms
1.0
-0.028 3.139 -3.853
-3.452 -2.784 -2.244
-3.575 2.663 2.196
Ru Hf Se
1 3 1
direct
0.000 0.000 0.000
0.000 0.000 0.500
0.000 0.500 0.000
0.500 0.000 0.000
0.500 0.500 0.500

=====

Entry 6:
HfRuSe2 PBE optimized geometry; E_form (uncorrected) = -0.354 eV per atom; space group = Fm-3m; raw total energy = -27.616 eV/cell; V = 17.09 Å³/atom; energy above the lowest structure with this stoichiometry = 0.0 kJ/mol of atoms
1.0
2.157 -4.003 -0.626
-1.118 -3.635 2.569
-2.233 -3.541 -1.882
Se Hf Ru
2 1 1
direct
0.750 0.750 0.750
0.250 0.250 0.250
0.500 0.500 0.500
0.000 0.000 0.000

=====

Entry 7:
Hf3RuSe PBE optimized geometry; E_form (uncorrected) = 0.419 eV per atom; space group = Pm-3m; raw total energy = -40.524 eV/cell; V = 22.41 Å³/atom; energy above the lowest structure with this stoichiometry = 24.1 kJ/mol of atoms
1.0
-0.732 2.728 -3.907
-1.578 -3.868 -2.406
-4.496 0.914 1.480
Hf Se Ru
3 1 1
direct
0.000 0.000 0.500
0.000 0.500 0.000
0.500 0.000 0.000
0.000 0.000 0.000
0.500 0.500 0.500

=====

Entry 8:
HfRu3Se PBE optimized geometry; E_form (uncorrected) = 0.503 eV per atom; space group = Pm-3m; raw total energy = -38.748 eV/cell; V = 18.14 Å³/atom; energy above the lowest structure with this stoichiometry = 0.0 kJ/mol of atoms
1.0
-4.323 -1.063 -0.611
-0.264 -1.379 4.268
-1.197 4.142 1.264
Ru Se Hf
3 1 1
direct
0.000 0.500 0.000
0.500 0.000 0.000
0.000 0.000 0.500
0.000 0.000 0.000
0.500 0.500 0.500

=====

Entry 9:
HfRuSe2 PBE optimized geometry; E_form (uncorrected) = -0.177 eV per atom; space group = R-3m; raw total energy = -26.908 eV/cell; V = 20.60 Å³/atom; energy above the lowest structure with this stoichiometry = 17.1 kJ/mol of atoms
1.0
-7.820 3.646 -0.259
-8.164 1.540 2.341
-6.769 4.566 2.801
Ru Hf Se
1 1 2
direct
0.000 0.000 0.000
0.500 0.500 0.500
0.905 0.905 0.905
0.095 0.095 0.095

=====

Entry 10:
SrHfRu2Se PBE optimized geometry; E_form (uncorrected) = 0.325 eV per atom; space group = P4/mmm; raw total energy = -32.048 eV/cell; V = 25.29 Å³/atom
1.0
-2.204 3.945 1.812
-3.248 0.128 -4.229
-3.171 -2.851 2.350
Sr Se Ru Hf
1 1 2 1
direct
0.500 0.500 0.500
0.000 0.500 0.000
0.500 0.000 0.000
0.000 0.000 0.500
0.000 0.000 0.000

=====

Entry 11:
HfTiRuSe2 PBE optimized geometry; E_form (uncorrected) = 0.747 eV per atom; space group = P4/mmm; raw total energy = -30.358 eV/cell; V = 22.68 Å³/atom
1.0
-3.615 -0.762 -2.936
2.550 -3.856 -2.139
-1.902 -2.988 3.118
Ru Ti Se Hf
1 1 2 1
direct
0.500 0.500 0.500
0.000 0.000 0.000
0.500 0.000 0.000
0.000 0.000 0.500
0.000 0.500 0.000

=====

Entry 12:
HfRu2WSe PBE optimized geometry; E_form (uncorrected) = 1.825 eV per atom; space group = P4/mmm; raw total energy = -35.817 eV/cell; V = 21.26 Å³/atom
1.0
4.678 0.000 0.000
0.000 4.858 0.000
0.000 0.000 4.678
W Se Ru Hf
1 1 2 1
direct
0.500 0.500 0.500
0.000 0.500 0.000
0.500 0.000 0.000
0.000 0.000 0.500
0.000 0.000 0.000